1.
Below is a geometry-optimized TiNiPd6 structure, with properties calculated at the PBE level.

Computed properties:
distance to the lowest polymorph of the same formula	294	meV/atom
formation energy	-0.016	eV per atom

```
data_TiNiPd6
_symmetry_space_group_name_H-M 'C 1 2/m 1'
_symmetry_Int_Tables_number 12
_symmetry_space_group_name_Hall '-C 2y'
_cell_length_a 5.5398
_cell_length_b 9.7542
_cell_length_c 5.4362
_cell_angle_alpha 90.00
_cell_angle_beta 119.28
_cell_angle_gamma 90.00
loop_
_atom_site_label
_atom_site_fract_x
_atom_site_fract_y
_atom_site_fract_z
_atom_site_occupancy
Ti1 0.0000 0.0000 0.0000 1
Ni1 0.0000 0.0000 0.5000 1
Pd1 0.0047 0.2221 0.7497 1
Pd2 0.0079 0.5000 0.7571 1
```

2.
Below is a geometry-optimized RbMn2AgBr8 structure, with properties calculated at the PBE level.

Computed properties:
energy relative to the elements, uncorrected	-748	meV per atom

```
data_RbMn2AgBr8
_symmetry_space_group_name_H-M 'P -3'
_symmetry_Int_Tables_number 147
_symmetry_space_group_name_Hall '-P 3'
_cell_length_a 6.9780
_cell_length_b 6.9780
_cell_length_c 9.6762
_cell_angle_alpha 90.00
_cell_angle_beta 90.00
_cell_angle_gamma 120.00
loop_
_atom_site_label
_atom_site_fract_x
_atom_site_fract_y
_atom_site_fract_z
_atom_site_occupancy
Rb1 0.0000 0.0000 0.0000 1
Mn1 0.3333 0.6667 0.7430 1
Ag1 0.0000 0.0000 0.5000 1
Br1 0.0120 0.3246 0.6756 1
Br2 0.3333 0.6667 0.9882 1
```

3.
Below is a geometry-optimized LaAlCo2 structure, with properties calculated at the PBE level.

Computed properties:
formation energy	-0.034	eV per atom

```
data_LaAlCo2
_symmetry_space_group_name_H-M 'P 4 m m'
_symmetry_Int_Tables_number 99
_symmetry_space_group_name_Hall 'P 4 -2'
_cell_length_a 3.0692
_cell_length_b 3.0692
_cell_length_c 7.2353
_cell_angle_alpha 90.00
_cell_angle_beta 90.00
_cell_angle_gamma 90.00
loop_
_atom_site_label
_atom_site_fract_x
_atom_site_fract_y
_atom_site_fract_z
_atom_site_occupancy
La1 0.0000 0.0000 0.0000 1
Al1 0.5000 0.5000 0.3514 1
Co1 0.0000 0.0000 0.5428 1
Co2 0.5000 0.5000 0.7015 1
```

4.
Below is a geometry-optimized ZnGe2Rh4 structure, with properties calculated at the PBE level.

Computed properties:
distance to the lowest polymorph of the same formula	732	meV/atom
formation energy	0.373	eV per atom

```
data_ZnGe2Rh4
_symmetry_space_group_name_H-M 'I 4/m m m'
_symmetry_Int_Tables_number 139
_symmetry_space_group_name_Hall '-I 4 2'
_cell_length_a 4.4830
_cell_length_b 4.4830
_cell_length_c 12.3583
_cell_angle_alpha 90.00
_cell_angle_beta 90.00
_cell_angle_gamma 90.00
loop_
_atom_site_label
_atom_site_fract_x
_atom_site_fract_y
_atom_site_fract_z
_atom_site_occupancy
Zn1 0.0000 0.0000 0.0000 1
Ge1 0.0000 0.0000 0.3841 1
Rh1 0.0000 0.0000 0.1977 1
Rh2 0.0000 0.5000 0.0000 1
```

Question: Which formula does entry 4 have?
Answer: ZnGe2Rh4